[1]
A plane-wave DFT calculation with PBE was carried out for crystalline ZnCuO at its relaxed geometry.

Unit cell a=5.4473 b=3.1261 c=9.9646 alpha=90.00 beta=120.78 gamma=90.00
Fractional coordinates of all 12 atoms:
Zn: 0.1899 0.5000 0.4482
Zn: 0.1899 0.0000 0.9482
Zn: 0.6666 0.5000 0.2268
Zn: 0.6666 0.0000 0.7268
O: 0.0299 0.0000 0.7031
O: 0.4459 0.5000 0.9934
O: 0.0299 0.5000 0.2031
O: 0.4459 0.0000 0.4934
Cu: 0.2917 0.0000 0.2296
Cu: 0.2917 0.5000 0.7296
Cu: 0.8045 0.5000 0.9656
Cu: 0.8045 0.0000 0.4656

- space-group type = Cm (8)
- E_form (uncorrected) (eV/atom) = -0.54
- energy above the lowest structure with this stoichiometry (eV/atom) = 0.072

[2]
A plane-wave DFT calculation with PBE was carried out for crystalline K2CeAlF8 at its relaxed geometry.

Unit cell a=4.9956 b=5.9686 c=6.9599 alpha=90.00 beta=90.00 gamma=91.45
Site moments in Bohr magnetons follow the coordinates.
Fractional coordinates of all 12 atoms:
K: 0.5000 0.5000 0.7777  0.00
K: 0.5000 0.5000 0.2223  0.00
F: 0.1600 0.8401 0.7949  0.00
F: 0.8400 0.1599 0.7949  0.00
F: 0.1600 0.8401 0.2051  0.00
F: 0.6693 0.7441 0.5000  -0.01
F: 0.8400 0.1599 0.2051  0.00
F: 0.7379 0.7955 0.0000  0.00
F: 0.2621 0.2045 0.0000  0.00
F: 0.3307 0.2559 0.5000  -0.01
Al: 0.0000 0.0000 0.0000  0.00
Ce: 0.0000 0.0000 0.5000  0.97

- space-group type = P2/m (10)
- E_form (uncorrected) (eV/atom) = -3.41